NaCd2N SCAN single point on PBEsol structure; E_tot = -18.11 eV/atom; M_tot = 0.00 Bohr magnetons per cell; SG = I-42d (122); DOS at the Fermi energy = 2.00 states/eV/f.u.; formation energy (no corrections) = 1.88 eV per formula unit
1.0
6.661 0.000 0.000
-3.331 5.810 -0.058
0.000 -3.764 5.496
Na N Cd
2 2 4
direct
0.250 0.500 0.750
0.000 0.000 0.000
0.750 0.500 0.250
0.500 0.000 0.500
0.537 0.250 0.375
0.713 0.250 0.875
0.125 0.750 0.463
0.625 0.750 0.287